A plane-wave DFT calculation with PBE was carried out for AcTbPm2Ho5 after structural relaxation.

Results
Total moment in μB/atom: 0.000
Energy in eV per atom: -4.312

abc: 8.8454 8.8454 15.4945
angles: 90.00 90.00 90.00
Space group I4/mcm (No. 140)
One atom of each set of equivalent atoms:
Ac 0.0000 0.0000 0.2500 (multiplicity 4)
Tb 0.0000 0.5000 0.2500 (multiplicity 4)
Pm 0.1161 0.3839 0.0000 (multiplicity 8)
Ho 0.0000 0.0000 0.0000 (multiplicity 4)
Ho 0.2064 0.2936 0.3679 (multiplicity 16)